Computed, not measured: Tb2CdGe4O12 after structural relaxation at the PBE-GGA level of DFT.

Structure (extended XYZ):
```
19
Lattice="5.046 0.000 0.000 1.248 7.075 0.000 0.225 3.080 7.365" Properties=species:S:1:pos:R:3 pbc="T T T"
Tb 0.666 3.302 3.394
Tb 5.853 6.853 3.971
Cd 0.624 3.537 0.000
Ge 3.383 8.674 5.817
Ge 3.179 5.373 1.647
Ge 3.340 4.782 5.718
Ge 3.137 1.481 1.548
O 2.333 8.431 4.457
O 1.881 5.219 2.804
O 1.683 2.412 1.570
O 2.203 6.092 5.715
O 2.354 5.578 0.054
O 2.387 3.331 5.318
O 4.132 6.824 2.047
O 4.165 4.577 7.312
O 4.317 4.064 1.650
O 4.836 7.744 5.795
O 4.638 4.936 4.561
O 4.186 1.725 2.908
```

Computed properties:
- E (eV per atom) = -6.777
- spin magnetization (μB/cell) = 0.00